# SbTe2Os

Crystalline SbTe2Os at its relaxed geometry (PBE, the Alexandria database).

Output
As for the density of states at the Fermi level: 0.374 states/eV/atom. Its uncorrected energy is -18.32 eV per cell. As for the formation energy from raw total energies: 0.830 eV/atom.

abc: 5.098 5.098 3.424
angles: 90.00 90.00 90.02
Sites, in units of the cell vectors:
Sb  0.000  0.500  0.500
Te  0.000  0.000  0.000
Te  0.500  0.500  0.000
Os  0.500  0.000  0.500


# TiBe2Au3

Crystalline TiBe2Au3 at its relaxed geometry (PBE, the Alexandria database).

Output
As for the density of states at the Fermi level: 0.620 states/eV/atom. The formation energy is -0.217 eV per atom. Its uncorrected energy is -26.48 eV per cell.

abc: 3.000 3.000 9.641
angles: 90.00 90.00 90.00
Sites, in units of the cell vectors:
Be  0.500  0.500  0.849
Be  0.500  0.500  0.151
Au  0.000  0.000  0.700
Au  0.000  0.000  0.000
Au  0.000  0.000  0.300
Ti  0.500  0.500  0.500


# HfZnAs2Se

Crystalline HfZnAs2Se at its relaxed geometry (PBE, the Alexandria database).

Output
As for the density of states at the Fermi level: 0.746 states/eV/atom. Its uncorrected energy is -21.48 eV per cell. As for the formation energy from raw total energies: 0.507 eV/atom.

abc: 4.717 4.717 4.890
angles: 90.00 90.00 90.00
Sites, in units of the cell vectors:
Hf  0.500  0.500  0.500
Zn  0.000  0.000  0.000
Se  0.000  0.000  0.500
As  0.500  0.000  0.000
As  0.000  0.500  0.000